1.
DFT (GGA-PBE) results for a geometry-optimized CsGaFePt2 structure.

```
CsGaFePt2
1.0
-0.720 4.791 -0.825
-2.529 0.336 4.163
4.141 1.041 2.432
Cs Ga Pt Fe
1 1 2 1
Cartesian
0.446 3.084 2.885
-1.265 0.168 2.082
2.071 0.521 1.216
-0.360 2.395 -0.412
0.000 0.000 0.000
```

## Properties
Uncorrected energy in eV per cell: -22.26
Crystal system: tetragonal

=====

2.
DFT (GGA-PBE) results for a geometry-optimized Cs2GaFeS4 structure.

```
Cs2GaFeS4
1.0
-4.040 -5.728 2.163
1.508 0.488 -7.162
3.767 -4.339 -0.650
Cs Ga Fe S
2 1 1 4
Cartesian
0.702 -0.415 -5.807
-1.347 -6.991 0.477
-1.284 -2.639 -2.470
0.633 -4.772 -2.851
2.914 -4.715 -3.076
-0.576 -3.628 -4.428
0.193 -7.027 -2.900
-0.062 -3.789 -0.893
```

## Properties
Crystal system: monoclinic
Energy relative to the elements, uncorrected in kJ/mol of atoms: -86

=====

3.
DFT (GGA-PBE) results for a geometry-optimized Cs2GaFeSb structure.

```
Cs2GaFeSb
1.0
7.414 0.000 0.000
0.000 4.910 0.000
0.000 0.000 7.414
Cs Sb Fe Ga
2 1 1 1
Cartesian
0.000 0.000 3.707
3.707 0.000 0.000
0.000 0.000 0.000
0.000 2.455 0.000
3.707 2.455 3.707
```

## Properties
Crystal system: tetragonal
Energy relative to the elements, uncorrected in kJ/mol of atoms: 50

=====

4.
DFT (GGA-PBE) results for a geometry-optimized CsGaFe2Si structure.

```
CsGaFe2Si
1.0
4.855 0.000 0.000
0.000 5.600 0.000
0.000 0.000 4.855
Cs Si Fe Ga
1 1 2 1
Cartesian
0.000 0.000 0.000
2.427 2.800 2.427
0.000 0.000 2.427
2.427 0.000 0.000
0.000 2.800 0.000
```

## Properties
Crystal system: tetragonal
Energy relative to the elements, uncorrected in kJ/mol of atoms: 259

=====

5.
DFT (GGA-PBE) results for a geometry-optimized CsFe3Ge structure.

```
CsFe3Ge
1.0
4.812 0.000 0.000
0.000 4.812 0.000
0.000 0.000 4.812
Cs Ge Fe
1 1 3
Cartesian
2.406 2.406 2.406
0.000 0.000 0.000
0.000 2.406 0.000
0.000 0.000 2.406
2.406 0.000 0.000
```

## Properties
Uncorrected energy in eV per cell: -25.41
Crystal system: cubic

=====

6.
DFT (GGA-PBE) results for a geometry-optimized CsFe2Ge2 structure.

```
CsFe2Ge2
1.0
-1.879 1.879 8.107
1.879 -1.879 8.107
1.879 1.879 -8.107
Cs Fe Ge
1 2 2
Cartesian
0.000 0.000 0.000
0.000 1.879 4.053
1.879 0.000 4.053
0.000 0.000 10.663
0.000 0.000 5.551
```

## Properties
Uncorrected energy in eV per cell: -26.61
Crystal system: tetragonal